Record 1
Here is a geometry-optimized La2Pr4NdMg structure from Alexandria via LeMat-Bulk. Energies are from PBE.

Cell and atoms, written as extended XYZ:
```
8
Lattice="-3.5670 0.1511 4.8014 -1.1206 -5.8294 -0.6490 4.9036 -7.4950 3.8789" Properties=species:S:1:pos:R:3 pbc="T T T"
La 0.6683 -3.6719 4.3401
La 4.9036 -7.4950 3.8789
Pr -2.5067 -3.2161 5.6950
Pr 2.7227 -9.9572 2.3362
Pr 1.5004 -6.9693 5.0621
Pr -1.2844 -6.2040 2.9692
Mg 1.8915 -6.6622 1.6150
Nd -2.3438 -2.8392 2.0762
```

Calculated values
calculated total energy = -34.79 eV/cell
space-group type = No. 47
ΔE_f = 0.0682 eV/atom
V = 34.5 Å³/atom
total magnetic moment = 0.000 μB per cell

---

Record 2
Here is a geometry-optimized YInHg2 structure from Alexandria via LeMat-Bulk. Energies are from PBE.

Cell and atoms, written as extended XYZ:
```
4
Lattice="-2.4876 2.4044 1.4298 -2.5194 -0.8743 -2.9130 -2.6664 -5.0271 3.8149" Properties=species:S:1:pos:R:3 pbc="T T T"
Y -4.5033 -3.0053 2.1196
In -3.1701 -0.4917 0.2121
Hg -1.3368 -2.5204 1.9127
Hg -2.6628 -5.0202 3.8097
```

Calculated values
calculated total energy = -10.96 eV/cell
space-group type = No. 47
ΔE_f = -0.2881 eV/atom
V = 25.3 Å³/atom
total magnetic moment = 0.001 μB per cell

---

Record 3
Here is a geometry-optimized MnOsBr2 structure from Alexandria via LeMat-Bulk. Energies are from PBE.

Cell and atoms, written as extended XYZ:
```
4
Lattice="-2.1075 -5.1136 -6.4004 -0.1422 -7.0216 -4.7151 -3.2413 -6.7755 -3.8912" Properties=species:S:1:pos:R:3 pbc="T T T"
Mn -1.3728 -4.7277 -3.7517
Os -4.1183 -14.1831 -11.2550
Br -2.7937 -9.6212 -7.6349
Br -5.4429 -18.7450 -14.8751
```

Calculated values
calculated total energy = -19.90 eV/cell
space-group type = No. 166
V = 18.5 Å³/atom
raw formation energy = 0.9625 eV per atom
excess energy over the best structure of this formula in the dataset = 0.697 eV/atom
total magnetic moment = 1.760 μB per cell

---

Record 4
Here is a geometry-optimized ZrTl2Fe structure from Alexandria via LeMat-Bulk. Energies are from PBE.

Cell and atoms, written as extended XYZ:
```
4
Lattice="-5.2232 0.5405 2.9679 -4.6751 -2.8157 2.5687 0.4523 -0.4913 4.7512" Properties=species:S:1:pos:R:3 pbc="T T T"
Tl -9.5458 -2.2141 5.5078
Tl -7.0804 -2.0742 7.7163
Fe -2.2453 -0.6719 2.5658
Zr -5.1960 -1.4645 5.1784
```

Calculated values
calculated total energy = -20.59 eV/cell
space-group type = No. 8
ΔE_f = 0.2871 eV/atom
V = 21.6 Å³/atom
excess energy over the best structure of this formula in the dataset = 0.093 eV/atom
total magnetic moment = 1.873 μB per cell

---

Record 5
Here is a geometry-optimized BaOs2 structure from Alexandria via LeMat-Bulk. Energies are from PBE.

Cell and atoms, written as extended XYZ:
```
6
Lattice="3.5394 -0.5533 6.9036 1.4434 5.4252 5.3830 -5.3538 -3.0793 -4.7274" Properties=species:S:1:pos:R:3 pbc="T T T"
Ba -0.7095 2.3909 3.3995
Ba 2.4914 2.4360 6.1433
Os 4.5621 4.4606 11.2493
Os -0.0822 -1.0097 3.1224
Os 0.4207 0.4114 1.0374
Os 0.7592 -0.1870 5.1972
```

Calculated values
calculated total energy = -44.94 eV/cell
space-group type = No. 141
ΔE_f = 0.6379 eV/atom
V = 25.0 Å³/atom
excess energy over the best structure of this formula in the dataset = 0.221 eV/atom
total magnetic moment = 0.000 μB per cell

---

Record 6
Here is a geometry-optimized SrTi2Cd structure from Alexandria via LeMat-Bulk. Energies are from PBE.

Cell and atoms, written as extended XYZ:
```
8
Lattice="-2.8758 -0.6899 3.5146 3.2893 -2.2926 2.2414 3.5536 7.7641 7.4335" Properties=species:S:1:pos:R:3 pbc="T T T"
Ti 1.8807 5.3595 7.0934
Ti 0.6773 4.8511 9.0105
Ti -1.3193 1.0262 5.3391
Ti 0.5304 -0.0710 6.2092
Cd 0.4423 2.7915 6.9130
Cd 0.0000 0.0000 0.0000
Sr 3.5248 1.9901 6.2764
Sr 0.2067 -1.4913 2.8780
```

Calculated values
calculated total energy = -31.53 eV/cell
space-group type = No. 122
ΔE_f = 0.6550 eV/atom
V = 28.6 Å³/atom
total magnetic moment = 0.000 μB per cell

---

Copy entry 4 word for word.
Here is a geometry-optimized ZrTl2Fe structure from Alexandria via LeMat-Bulk. Energies are from PBE.

Cell and atoms, written as extended XYZ:
```
4
Lattice="-5.2232 0.5405 2.9679 -4.6751 -2.8157 2.5687 0.4523 -0.4913 4.7512" Properties=species:S:1:pos:R:3 pbc="T T T"
Tl -9.5458 -2.2141 5.5078
Tl -7.0804 -2.0742 7.7163
Fe -2.2453 -0.6719 2.5658
Zr -5.1960 -1.4645 5.1784
```

Calculated values
calculated total energy = -20.59 eV/cell
space-group type = No. 8
ΔE_f = 0.2871 eV/atom
V = 21.6 Å³/atom
excess energy over the best structure of this formula in the dataset = 0.093 eV/atom
total magnetic moment = 1.873 μB per cell